Compound: PuCoAsO6
Source: Alexandria
Functional: PBE with a Hubbard U
Structure: relaxed

Calculated values
total magnetic moment = 4.04 Bohr magnetons per cell
calculated density = 7.03 Mg/m³
crystal system = trigonal
SG = P-31c
electronic total energy = -67.66 eV per formula unit

Cell: 5.406 5.406 8.846 Å, 90.00 90.00 120.00°
Sites, in units of the cell vectors:
O  0.005  0.347  0.131
O  0.659  0.005  0.869
O  0.005  0.659  0.369
O  0.995  0.653  0.869
O  0.659  0.653  0.631
O  0.341  0.347  0.369
O  0.653  0.659  0.131
O  0.347  0.341  0.869
O  0.653  0.995  0.369
O  0.341  0.995  0.131
O  0.995  0.341  0.631
O  0.347  0.005  0.631
Pu  0.333  0.667  0.250
Pu  0.667  0.333  0.750
As  0.333  0.667  0.750
As  0.667  0.333  0.250
Co  0.000  0.000  0.500
Co  0.000  0.000  0.000